[1]
## KNaCuSi4O10 (PBE)

Data for KNaCuSi4O10 after structural relaxation.

```
KNaCuSi4O10
1.0
7.020 0.000 0.000
-3.242 7.557 0.000
-1.824 -3.796 9.102
K Na Cu Si O
2 2 2 8 20
direct
0.160 0.299 0.498
0.840 0.701 0.502
0.172 0.625 0.912
0.828 0.375 0.088
0.322 0.344 0.086
0.678 0.656 0.914
0.072 0.849 0.223
0.319 0.663 0.351
0.330 0.109 0.771
0.459 0.789 0.702
0.541 0.211 0.298
0.670 0.891 0.229
0.681 0.337 0.649
0.928 0.151 0.777
0.056 0.307 0.942
0.076 0.068 0.701
0.144 0.751 0.333
0.210 0.444 0.239
0.288 0.040 0.239
0.301 0.890 0.737
0.379 0.677 0.521
0.422 0.627 0.769
0.448 0.253 0.939
0.451 0.189 0.660
0.549 0.811 0.340
0.552 0.747 0.061
0.578 0.373 0.231
0.621 0.323 0.479
0.699 0.110 0.263
0.712 0.960 0.761
0.790 0.556 0.761
0.856 0.249 0.667
0.924 0.932 0.299
0.944 0.693 0.058
```

Calculated values
The calculated total energy is -236.85 eV/cell.

***

[2]
## KNaCuP (PBE)

Data for KNaCuP after structural relaxation.

```
KNaCuP
1.0
2.026 1.170 8.049
-2.026 1.170 8.049
0.000 -2.339 8.049
K Na Cu P
1 1 1 1
direct
0.000 0.000 0.000
0.169 0.169 0.169
0.763 0.763 0.763
0.428 0.428 0.428
```

Calculated values
The value obtained for the energy of formation is -0.23 eV/atom. The calculated total energy is -12.82 eV/cell.

***

[3]
## KNa2CuPb (PBE)

Data for KNa2CuPb after structural relaxation.

```
KNa2CuPb
1.0
5.705 0.000 0.000
0.000 5.705 0.000
0.000 0.000 5.089
K Na Cu Pb
1 2 1 1
direct
0.000 0.000 0.000
0.000 0.500 0.500
0.500 0.000 0.500
0.500 0.500 0.500
0.500 0.500 0.000
```

Calculated values
The value obtained for the energy of formation is 0.05 eV/atom. The calculated total energy is -11.31 eV/cell.

***

[4]
## KNaCu2Pb (PBE)

Data for KNaCu2Pb after structural relaxation.

```
KNaCu2Pb
1.0
4.963 0.000 0.000
0.000 4.963 0.000
0.000 0.000 5.937
K Na Cu Pb
1 1 2 1
direct
0.000 0.000 0.000
0.500 0.500 0.000
0.000 0.500 0.500
0.500 0.000 0.500
0.000 0.000 0.500
```

Calculated values
The value obtained for the energy of formation is 0.54 eV/atom. The calculated total energy is -11.63 eV/cell.

***

[5]
## KRbNa2Cu (PBE)

Data for KRbNa2Cu after structural relaxation.

```
KRbNa2Cu
1.0
5.952 0.000 0.000
0.000 5.952 0.000
0.000 0.000 6.554
K Rb Na Cu
1 1 2 1
direct
0.000 0.000 0.000
0.500 0.500 0.000
0.000 0.500 0.500
0.500 0.000 0.500
0.500 0.500 0.500
```

Calculated values
The polymorph energy (0 for the lowest one) comes out at 18 meV per atom. The value obtained for the energy of formation is 0.23 eV/atom. The calculated total energy is -7.66 eV/cell.

***

[6]
## KRbNa2Cu (PBE)

Data for KRbNa2Cu after structural relaxation.

```
KRbNa2Cu
1.0
5.963 0.000 0.000
0.000 5.963 0.000
0.000 0.000 6.375
K Rb Na Cu
1 1 2 1
direct
0.000 0.000 0.000
0.500 0.500 0.000
0.000 0.500 0.500
0.500 0.000 0.500
0.000 0.000 0.500
```

Calculated values
The polymorph energy (0 for the lowest one) comes out at 0 meV per atom. The value obtained for the energy of formation is 0.21 eV/atom. The calculated total energy is -7.75 eV/cell.

***

[7]
## KNaCuS2 (PBE)

Data for KNaCuS2 after structural relaxation.

```
KNaCuS2
1.0
5.119 0.000 0.000
0.000 7.181 0.000
0.000 0.000 6.152
K Na Cu S
2 2 2 4
direct
0.250 0.000 0.214
0.750 0.000 0.786
0.250 0.500 0.412
0.750 0.500 0.588
0.000 0.500 0.000
0.500 0.500 0.000
0.250 0.284 0.795
0.250 0.716 0.795
0.750 0.284 0.205
0.750 0.716 0.205
```

Calculated values
The calculated total energy is -35.85 eV/cell.

***

[8]
## KNa2CuSb (PBE)

Data for KNa2CuSb after structural relaxation.

```
KNa2CuSb
1.0
5.596 0.000 0.000
0.000 5.596 0.000
0.000 0.000 5.032
K Na Cu Sb
1 2 1 1
direct
0.000 0.000 0.000
0.000 0.500 0.500
0.500 0.000 0.500
0.500 0.500 0.500
0.500 0.500 0.000
```

Calculated values
The calculated total energy is -12.36 eV/cell.

***

[9]
## KNaCu2Se2 (PBE)

Data for KNaCu2Se2 after structural relaxation.

```
KNaCu2Se2
1.0
4.167 0.000 0.000
-2.084 3.609 0.000
0.000 0.000 9.086
K Na Cu Se
1 1 2 2
direct
0.000 0.000 0.000
0.000 0.000 0.500
0.333 0.667 0.276
0.667 0.333 0.724
0.333 0.667 0.730
0.667 0.333 0.270
```

Calculated values
The calculated total energy is -21.51 eV/cell.

***

[10]
## KNaCuSe2 (PBE)

Data for KNaCuSe2 after structural relaxation.

```
KNaCuSe2
1.0
5.256 0.000 0.000
0.000 7.462 0.000
0.000 0.000 6.456
K Na Cu Se
2 2 2 4
direct
0.250 0.000 0.212
0.750 0.000 0.788
0.250 0.500 0.401
0.750 0.500 0.599
0.000 0.500 0.000
0.500 0.500 0.000
0.250 0.280 0.787
0.250 0.720 0.787
0.750 0.280 0.213
0.750 0.720 0.213
```

Calculated values
The calculated total energy is -33.36 eV/cell.

***

[11]
## KNa2CuSn (PBE)

Data for KNa2CuSn after structural relaxation.

```
KNa2CuSn
1.0
5.664 0.000 0.000
0.000 5.664 0.000
0.000 0.000 4.937
K Na Cu Sn
1 2 1 1
direct
0.000 0.000 0.000
0.000 0.500 0.500
0.500 0.000 0.500
0.500 0.500 0.500
0.500 0.500 0.000
```

Calculated values
The polymorph energy (0 for the lowest one) comes out at 0 meV per atom. The value obtained for the energy of formation is -0.01 eV/atom. The calculated total energy is -11.88 eV/cell.

***

[12]
## KNa2CuSn (PBE)

Data for KNa2CuSn after structural relaxation.

```
KNa2CuSn
1.0
5.964 0.000 0.000
0.000 5.964 0.000
0.000 0.000 5.004
K Na Cu Sn
1 2 1 1
direct
0.000 0.000 0.000
0.000 0.500 0.500
0.500 0.000 0.500
0.500 0.500 0.000
0.500 0.500 0.500
```

Calculated values
The polymorph energy (0 for the lowest one) comes out at 67 meV per atom. The value obtained for the energy of formation is 0.06 eV/atom. The calculated total energy is -11.55 eV/cell.